Record 1
Computed, not measured: a geometry-optimized AcGeCl2 structure at the GGA-PBE level of DFT.

Calculated values
size of the total moment	0.00	μB/f.u.
formation energy from raw total energies	-533	meV per atom

The structure in POSCAR format:
```
AcGeCl2
1.0
-3.100 0.124 2.217
-2.969 -2.274 -0.745
2.025 -7.989 6.560
Ac Ge Cl
1 1 2
Cartesian
0.000 0.000 0.000
-2.022 -5.070 4.016
0.931 -6.023 4.919
-4.975 -4.117 3.113
```

***

Record 2
Computed, not measured: a geometry-optimized K3PPt structure at the GGA-PBE level of DFT.

Calculated values
size of the total moment	0.22	μB/f.u.
ΔE to the lowest computed polymorph	126	meV/atom
energy of formation	-0.147	eV per atom

The structure in POSCAR format:
```
K3PPt
1.0
7.736 0.618 -0.024
-1.522 7.610 0.024
-3.372 -3.914 5.990
K P Pt
6 2 2
Cartesian
5.646 -0.240 1.480
0.254 2.245 1.504
2.588 2.069 4.486
4.279 3.229 0.969
-2.804 4.554 4.510
-1.436 1.085 5.020
2.014 4.939 2.460
0.828 -0.626 3.530
2.550 -1.926 4.373
0.292 6.240 1.616
```

***

Record 3
Computed, not measured: a geometry-optimized CsLiCe2Br8 structure at the GGA-PBE level of DFT.

Calculated values
size of the total moment	2.00	μB/f.u.
formation energy from raw total energies	-1716	meV per atom

The structure in POSCAR format:
```
CsLiCe2Br8
1.0
-1.595 -7.128 0.184
1.914 -1.342 6.847
-8.580 1.990 2.790
Cs Li Ce Br
1 1 2 8
Cartesian
-4.290 0.995 1.395
0.000 0.000 0.000
-6.373 -2.720 5.639
-1.887 -3.760 4.181
-0.547 -1.739 5.711
-8.221 -3.510 7.819
-2.583 -5.930 2.440
-7.713 -4.741 4.109
-0.039 -2.970 2.001
-5.678 -0.550 7.380
-3.915 -4.344 6.359
-4.345 -2.136 3.461
```

***

Record 4
Computed, not measured: a geometry-optimized Os2RhPb structure at the GGA-PBE level of DFT.

Calculated values
size of the total moment	0.29	μB/f.u.
energy of formation	0.920	eV per atom

The structure in POSCAR format:
```
Os2RhPb
1.0
4.592 0.000 0.000
0.000 4.592 0.000
0.000 0.000 3.128
Os Rh Pb
2 1 1
Cartesian
2.296 0.000 0.000
0.000 2.296 0.000
0.000 0.000 1.564
2.296 2.296 1.564
```

***

Record 5
Computed, not measured: a geometry-optimized GdMgZr2 structure at the GGA-PBE level of DFT.

Calculated values
size of the total moment	7.06	μB/f.u.
ΔE to the lowest computed polymorph	5	meV/atom
energy of formation	0.105	eV per atom

The structure in POSCAR format:
```
GdMgZr2
1.0
-0.989 3.045 -0.579
-0.797 -0.837 -3.041
-8.513 -2.224 2.843
Mg Gd Zr
1 1 2
Cartesian
-0.893 1.104 -1.810
-5.150 -0.008 -0.388
-6.484 -1.694 2.165
-2.029 -0.530 0.678
```

***

Record 6
Computed, not measured: a geometry-optimized Ac2TaTl structure at the GGA-PBE level of DFT.

Calculated values
size of the total moment	0.00	μB/f.u.
energy of formation	0.793	eV per atom

The structure in POSCAR format:
```
Ac2TaTl
1.0
3.471 0.000 0.000
1.736 3.006 0.000
1.736 1.002 12.222
Ac Tl Ta
2 1 1
Cartesian
1.736 1.002 9.156
5.207 3.006 3.066
3.471 2.004 6.111
0.000 0.000 0.000
```

***

We obtain ρ values of 4.7, 3.2, 3.6, 17.4, 6.2, 10.9 g/cm3 for the records listed above, in that order.